Computed, not measured: crystalline Zn2HgAs2 at its relaxed geometry at the GGA-PBE level of DFT.

abc: 8.003 8.003 3.028
angles: 90.00 90.00 90.00
Fractional coordinates of all 10 atoms:
As 0.648 0.852 0.500
As 0.148 0.648 0.500
As 0.852 0.352 0.500
As 0.352 0.148 0.500
Zn 0.355 0.855 0.000
Zn 0.855 0.645 0.000
Zn 0.145 0.355 0.000
Zn 0.645 0.145 0.000
Hg 0.000 0.000 0.000
Hg 0.500 0.500 0.000

## Properties
- relative energy among the computed polymorphs (meV per atom) = 172
- uncorrected energy (eV per cell) = -22.374
- ΔH_f (0 K) (eV per atom) = 0.19
- density of states at the Fermi level (states/eV per cell) = 4.63

---

Computed, not measured: crystalline Zn2HgAs at its relaxed geometry at the GGA-PBE level of DFT.

abc: 3.721 2.784 7.736
angles: 92.41 90.00 90.00
Fractional coordinates of all 4 atoms:
As 0.500 0.250 0.250
Zn 0.000 0.266 0.491
Zn 0.000 0.234 0.009
Hg 0.500 0.750 0.750

## Properties
- uncorrected energy (eV per cell) = -7.018
- ΔH_f (0 K) (eV per atom) = 0.12
- density of states at the Fermi level (states/eV per cell) = 1.29

---

Computed, not measured: crystalline Zn2HgAs at its relaxed geometry at the GGA-PBE level of DFT.

abc: 5.019 5.019 5.019
angles: 128.20 128.20 76.30
Fractional coordinates of all 4 atoms:
As 0.250 0.750 0.500
Zn 0.000 0.000 0.000
Zn 0.500 0.500 0.000
Hg 0.750 0.250 0.500

## Properties
- uncorrected energy (eV per cell) = -6.653
- ΔH_f (0 K) (eV per atom) = 0.21
- density of states at the Fermi level (states/eV per cell) = 1.43

---

Computed, not measured: crystalline Zn4HgAs at its relaxed geometry at the GGA-PBE level of DFT.

abc: 5.312 5.312 5.312
angles: 60.00 60.00 60.00
Fractional coordinates of all 6 atoms:
Zn 0.874 0.375 0.375
Zn 0.375 0.874 0.375
Zn 0.375 0.375 0.375
Zn 0.375 0.375 0.874
Hg 0.000 0.000 0.000
As 0.750 0.750 0.750

## Properties
- uncorrected energy (eV per cell) = -8.907
- ΔH_f (0 K) (eV per atom) = 0.19
- density of states at the Fermi level (states/eV per cell) = 4.39